Model 1:
IrOs3N | PBE-GGA | relaxed

```
IrOs3N
1.0
-1.2030 -3.9442 2.2930
3.7559 -2.2023 -1.8178
2.5899 1.3619 3.7013
N Ir Os
1 1 3
direct
0.5000 0.5000 0.5000
0.0000 0.0000 0.0000
0.0000 0.5000 0.0000
0.5000 0.0000 0.0000
0.0000 0.0000 0.5000
```

volume = 105 Å³ per cell
space group = No. 221
magnetization = 2.72 μB/cell

Model 2:
IrOs3N | PBE-GGA | relaxed

```
IrOs3N
1.0
-0.4297 2.7355 2.9351
-0.9900 -2.9329 2.5885
3.8882 -0.4445 0.9835
Os N Ir
3 1 1
direct
0.5000 0.0000 0.0000
0.0000 0.5000 0.0000
0.0000 0.0000 0.5000
0.0000 0.0000 0.0000
0.5000 0.5000 0.5000
```

volume = 66 Å³ per cell
space group = No. 221
magnetization = 0.00 μB/cell

Most stable to least stable, the ends of the list are model 2 and model 1.

Model 1:
IrOsSN2 | PBE-GGA | relaxed

```
IrOsSN2
1.0
-3.3345 -1.3138 0.6072
-0.4838 -0.4256 -3.5775
2.9095 -7.1718 0.4597
Ir N Os S
1 2 1 1
direct
0.0000 0.0000 0.0000
0.0000 0.5000 0.0000
0.5000 0.0000 0.0000
0.5000 0.5000 0.5000
0.0000 0.0000 0.5000
```

volume = 102 Å³ per cell
space group = No. 123
magnetization = 2.74 μB/cell

Model 2:
IrOsSN2 | PBE-GGA | relaxed

```
IrOsSN2
1.0
3.7103 0.0000 0.0000
0.0000 3.7103 0.0000
0.0000 0.0000 5.3375
S N Os Ir
1 2 1 1
direct
0.0000 0.0000 0.5000
0.0000 0.5000 0.0000
0.5000 0.0000 0.0000
0.0000 0.0000 0.0000
0.5000 0.5000 0.5000
```

volume = 73 Å³ per cell
space group = No. 123
magnetization = 1.29 μB/cell

Most stable to least stable, the ends of the list are model 2 and model 1.

Model 1:
IrOsSe2N | PBE-GGA | relaxed

```
IrOsSe2N
1.0
-1.1062 -4.8245 -0.4823
4.6193 -1.1990 1.3987
-1.0696 -0.0994 3.4472
Se N Os Ir
2 1 1 1
direct
0.5000 0.0000 0.0000
0.0000 0.5000 0.0000
0.0000 0.0000 0.5000
0.0000 0.0000 0.0000
0.5000 0.5000 0.5000
```

volume = 89 Å³ per cell
space group = No. 123
magnetization = 0.00 μB/cell

Model 2:
IrOsSe2N | PBE-GGA | relaxed

```
IrOsSe2N
1.0
5.0223 0.0000 0.0000
0.0000 5.0223 0.0000
0.0000 0.0000 3.5697
N Se Os Ir
1 2 1 1
direct
0.0000 0.0000 0.5000
0.5000 0.0000 0.0000
0.0000 0.5000 0.0000
0.5000 0.5000 0.5000
0.0000 0.0000 0.0000
```

volume = 90 Å³ per cell
space group = No. 123
magnetization = 0.28 μB/cell

Most stable to least stable, the ends of the list are model 1 and model 2.

Model 1:
PIr2N | PBE-GGA | relaxed

```
PIr2N
1.0
0.0000 2.8744 2.8744
2.8744 0.0000 2.8744
2.8744 2.8744 0.0000
Ir N P
2 1 1
direct
0.7500 0.7500 0.7500
0.2500 0.2500 0.2500
0.0000 0.0000 0.0000
0.5000 0.5000 0.5000
```

volume = 47 Å³ per cell
space group = No. 225
magnetization = 0.00 μB/cell

Model 2:
PIr2N | PBE-GGA | relaxed

```
PIr2N
1.0
-4.5053 1.4358 -1.0456
-1.2262 -0.4518 4.6631
-1.5083 5.3546 2.6368
N Ir P
2 4 2
direct
0.5000 0.5000 0.0000
0.2500 0.7500 0.5000
0.5701 0.1250 0.2500
0.3750 0.4299 0.7500
0.1799 0.6250 0.2500
0.8750 0.8201 0.7500
0.0000 0.0000 0.0000
0.7500 0.2500 0.5000
```

volume = 120 Å³ per cell
space group = No. 122
magnetization = 0.00 μB/cell

Most stable to least stable, the ends of the list are model 2 and model 1.